No. 1
Entry from Alexandria: crystalline In2Cu at its relaxed geometry (GGA-PBE).

Output
Its density of states at the Fermi level is 1.994 states/eV/f.u. The calculated total energy is -18.4 eV for the cell shown. As for the spin magnetization: 0.0 μB per formula unit. Its space-group type is P6_3/mmc, No. 194. The value obtained for the formation enthalpy at 0 K is 12.5 kJ per mole of atoms. Its crystal system is hexagonal.

a b c (Å): 3.4370 3.4370 12.7353
angles (deg): 90.00 90.00 120.00
With the nearest neighbours (Å) after each atom.
Sites, in units of the cell vectors:
1 In 0.3333 0.6667 0.1015  3 Cu 2.74
2 In 0.3333 0.6667 0.3985  3 Cu 2.74
3 In 0.6667 0.3333 0.6015  3 Cu 2.74
4 In 0.6667 0.3333 0.8985  3 Cu 2.74
5 Cu 0.0000 0.0000 0.2500  6 In 2.74
6 Cu 0.0000 0.0000 0.7500  6 In 2.74

No. 2
Entry from Alexandria: crystalline InCu2 at its relaxed geometry (GGA-PBE).

Output
Its density of states at the Fermi level is 0.740 states/eV/f.u. The calculated total energy is -20.9 eV for the cell shown. As for the spin magnetization: 0.0 μB per formula unit. Its space-group type is Imma, No. 74. The value obtained for the formation enthalpy at 0 K is 16.2 kJ per mole of atoms. Its crystal system is orthorhombic.

a b c (Å): 8.6793 8.6793 8.6793
angles (deg): 161.18 151.98 33.97
With the nearest neighbours (Å) after each atom.
Sites, in units of the cell vectors:
1 In 0.3703 0.1203 0.2500  10 Cu 2.78-2.99, 2 In 2.84
2 In 0.6297 0.8797 0.7500  10 Cu 2.78-2.99, 2 In 2.84
3 Cu 0.0606 0.3106 0.7500  3 Cu 2.46-2.51
4 Cu 0.2117 0.4617 0.7500  3 Cu 2.46-2.51
5 Cu 0.7883 0.5383 0.2500  3 Cu 2.46-2.51
6 Cu 0.9394 0.6894 0.2500  3 Cu 2.46-2.51

No. 3
Entry from Alexandria: crystalline InCu5 at its relaxed geometry (GGA-PBE).

Output
Its density of states at the Fermi level is 2.071 states/eV/f.u. The calculated total energy is -22.8 eV for the cell shown. As for the spin magnetization: 0.0 μB per formula unit. Its space-group type is Amm2, No. 38. The value obtained for the formation enthalpy at 0 K is 7.1 kJ per mole of atoms. Its crystal system is orthorhombic.

a b c (Å): 4.3066 6.9914 6.9914
angles (deg): 23.00 90.00 90.00
With the nearest neighbours (Å) after each atom.
Sites, in units of the cell vectors:
1 In 0.0000 0.0000 0.0000  10 Cu 2.70-2.78, 2 In 2.79
2 Cu 0.0000 0.3241 0.3241  10 Cu 2.50-2.79, 2 In 2.78
3 Cu 0.0000 0.6730 0.6730  10 Cu 2.50-2.79, 2 In 2.75
4 Cu 0.5000 0.1247 0.1247  8 Cu 2.56-2.79, 2 In 2.75
5 Cu 0.5000 0.4382 0.4382  6 Cu 2.56-2.79, 4 In 2.70
6 Cu 0.5000 0.7812 0.7812  12 Cu 2.56-2.79

No. 4
Entry from Alexandria: crystalline In3Cu at its relaxed geometry (GGA-PBE).

Output
Its density of states at the Fermi level is 2.050 states/eV/f.u. The calculated total energy is -11.6 eV for the cell shown. As for the spin magnetization: 0.0 μB per formula unit. Its space-group type is Pm-3m, No. 221. The value obtained for the formation enthalpy at 0 K is 17.5 kJ per mole of atoms. Its crystal system is cubic.

a b c (Å): 4.4998 4.4998 4.4998
angles (deg): 90.00 90.00 90.00
With the nearest neighbours (Å) after each atom.
Sites, in units of the cell vectors:
1 In 0.0000 0.0000 0.5000  8 In 3.18, 4 Cu 3.18
2 In 0.0000 0.5000 0.0000  8 In 3.18, 4 Cu 3.18
3 In 0.5000 0.0000 0.0000  8 In 3.18, 4 Cu 3.18
4 Cu 0.5000 0.5000 0.5000  12 In 3.18

No. 5
Entry from Alexandria: crystalline In2Cu at its relaxed geometry (GGA-PBE).

Output
Its density of states at the Fermi level is 1.368 states/eV/f.u. The calculated total energy is -9.3 eV for the cell shown. As for the spin magnetization: 0.0 μB per formula unit. Its space-group type is Pm, No. 6. The value obtained for the formation enthalpy at 0 K is 10.4 kJ per mole of atoms. Its crystal system is monoclinic.

a b c (Å): 3.2611 4.3987 5.0198
angles (deg): 90.00 107.55 90.00
With the nearest neighbours (Å) after each atom.
Sites, in units of the cell vectors:
1 In 0.0000 0.0000 0.0000  3 Cu 2.64-2.70
2 In 0.2538 0.5000 0.5450  4 Cu 2.77-2.78
3 Cu 0.7065 0.0000 0.4488  7 In 2.64-2.78

No. 6
Entry from Alexandria: crystalline In2Cu3 at its relaxed geometry (GGA-PBE).

Output
Its density of states at the Fermi level is 2.606 states/eV/f.u. The calculated total energy is -16.6 eV for the cell shown. As for the spin magnetization: 0.0 μB per formula unit. Its space-group type is R-3m, No. 166. The value obtained for the formation enthalpy at 0 K is 22.8 kJ per mole of atoms. Its crystal system is trigonal.

a b c (Å): 10.1096 10.1096 10.1096
angles (deg): 18.16 18.16 18.16
With the nearest neighbours (Å) after each atom.
Sites, in units of the cell vectors:
1 In 0.0972 0.0972 0.0972  6 Cu 2.76-2.77
2 In 0.9028 0.9028 0.9028  6 Cu 2.76-2.77
3 Cu 0.3053 0.3053 0.3053  3 Cu 2.49, 3 In 2.76
4 Cu 0.5000 0.5000 0.5000  6 In 2.77
5 Cu 0.6947 0.6947 0.6947  3 Cu 2.49, 3 In 2.76

No. 7
Entry from Alexandria: crystalline In3Cu at its relaxed geometry (GGA-PBE).

Output
Its density of states at the Fermi level is 1.968 states/eV/f.u. The calculated total energy is -11.2 eV for the cell shown. As for the spin magnetization: 0.0 μB per formula unit. Its space-group type is Pm-3m, No. 221. The value obtained for the formation enthalpy at 0 K is 25.9 kJ per mole of atoms. Its crystal system is cubic.

a b c (Å): 5.0962 5.0962 5.0962
angles (deg): 90.00 90.00 90.00
With the nearest neighbours (Å) after each atom.
Sites, in units of the cell vectors:
1 In 0.0000 0.0000 0.5000  2 Cu 2.55
2 In 0.0000 0.5000 0.0000  2 Cu 2.55
3 In 0.5000 0.0000 0.0000  2 Cu 2.55
4 Cu 0.0000 0.0000 0.0000  6 In 2.55

No. 8
Entry from Alexandria: crystalline InCu2 at its relaxed geometry (GGA-PBE).

Output
Its density of states at the Fermi level is 0.632 states/eV/f.u. The calculated total energy is -87.4 eV for the cell shown. As for the spin magnetization: 0.0 μB per formula unit. Its space-group type is P6_3/mmc, No. 194. The value obtained for the formation enthalpy at 0 K is 0.1 kJ per mole of atoms. Its crystal system is hexagonal.

a b c (Å): 5.0476 5.0476 16.6694
angles (deg): 90.00 90.00 120.00
With the nearest neighbours (Å) after each atom.
Sites, in units of the cell vectors:
1 In 0.0000 0.0000 0.0950  12 Cu 2.95-2.98, 4 In 3.09-3.17
2 In 0.0000 0.0000 0.4050  12 Cu 2.95-2.98, 4 In 3.09-3.17
3 In 0.0000 0.0000 0.5950  12 Cu 2.95-2.98, 4 In 3.09-3.17
4 In 0.0000 0.0000 0.9050  12 Cu 2.95-2.98, 4 In 3.09-3.17
5 In 0.3333 0.6667 0.1558  12 Cu 2.96-2.98, 4 In 3.09-3.14
6 In 0.3333 0.6667 0.3442  12 Cu 2.96-2.98, 4 In 3.09-3.14
7 In 0.6667 0.3333 0.6558  12 Cu 2.96-2.98, 4 In 3.09-3.14
8 In 0.6667 0.3333 0.8442  12 Cu 2.96-2.98, 4 In 3.09-3.14
9 Cu 0.0000 0.5000 0.0000  6 Cu 2.52-2.53
10 Cu 0.0000 0.5000 0.5000  6 Cu 2.52-2.53
11 Cu 0.1661 0.3322 0.7500  6 Cu 2.52-2.56
12 Cu 0.1661 0.8339 0.7500  6 Cu 2.52-2.56
13 Cu 0.3322 0.1661 0.2500  6 Cu 2.52-2.56
14 Cu 0.3333 0.6667 0.6239  6 Cu 2.53-2.56
15 Cu 0.3333 0.6667 0.8761  6 Cu 2.53-2.56
16 Cu 0.5000 0.0000 0.0000  6 Cu 2.52-2.53
17 Cu 0.5000 0.0000 0.5000  6 Cu 2.52-2.53
18 Cu 0.5000 0.5000 0.0000  6 Cu 2.52-2.53
19 Cu 0.5000 0.5000 0.5000  6 Cu 2.52-2.53
20 Cu 0.6667 0.3333 0.1239  6 Cu 2.53-2.56
21 Cu 0.6667 0.3333 0.3761  6 Cu 2.53-2.56
22 Cu 0.6678 0.8339 0.7500  6 Cu 2.52-2.56
23 Cu 0.8339 0.1661 0.2500  6 Cu 2.52-2.56
24 Cu 0.8339 0.6678 0.2500  6 Cu 2.52-2.56

No. 9
Entry from Alexandria: crystalline In4CuIr at its relaxed geometry (GGA-PBE).

Output
Its density of states at the Fermi level is 3.536 states/eV/f.u. The calculated total energy is -19.3 eV for the cell shown. As for the spin magnetization: 0.0 μB per formula unit. Its space-group type is F-43m, No. 216. The value obtained for the formation enthalpy at 0 K is 74.3 kJ per mole of atoms. Its polymorph energy (0 for the lowest one) is 838 meV per atom. Its crystal system is cubic.

a b c (Å): 5.7214 5.7214 5.7214
angles (deg): 60.00 60.00 60.00
With the nearest neighbours (Å) after each atom.
Sites, in units of the cell vectors:
1 In 0.1247 0.1247 0.1247  6 In 2.85-2.87
2 In 0.1247 0.1247 0.6259  6 In 2.85-2.87
3 In 0.1247 0.6259 0.1247  6 In 2.85-2.87
4 In 0.6259 0.1247 0.1247  6 In 2.85-2.87
5 Cu 0.5000 0.5000 0.5000  12 In 3.36, 4 Ir 3.50
6 Ir 0.7500 0.7500 0.7500  12 In 3.35, 4 Cu 3.50

No. 10
Entry from Alexandria: crystalline InCu2Ir at its relaxed geometry (GGA-PBE).

Output
Its density of states at the Fermi level is 1.447 states/eV/f.u. The calculated total energy is -19.4 eV for the cell shown. As for the spin magnetization: 0.0 μB per formula unit. Its space-group type is Immm, No. 71. The value obtained for the formation enthalpy at 0 K is 9.0 kJ per mole of atoms. Its crystal system is orthorhombic.

a b c (Å): 5.2120 5.2120 5.2120
angles (deg): 145.81 129.56 62.35
With the nearest neighbours (Å) after each atom.
Sites, in units of the cell vectors:
1 In 0.0000 0.0000 0.0000  4 Ir 2.70, 4 Cu 2.76
2 Cu 0.2567 0.7567 0.5000  2 Ir 2.66, 4 Cu 2.70, 2 In 2.76
3 Cu 0.7433 0.2433 0.5000  2 Ir 2.66, 4 Cu 2.70, 2 In 2.76
4 Ir 0.5000 0.5000 0.0000  4 Cu 2.66, 4 In 2.70